(1)
AcCdSbCl | PBE | optimized geometry

Cell lengths 5.490, 5.490, 5.490 Å; angles 60.00, 60.00, 60.00 degrees
Fractional coordinates of all 4 atoms:
Sb (0.250, 0.250, 0.250)
Ac (0.500, 0.500, 0.500)
Cl (0.750, 0.750, 0.750)
Cd (0.000, 0.000, 0.000)

Results
E_tot (eV/atom): -3.66
Raw formation energy (kJ/mol of formula units): -352.1
Volume (Å³ per cell): 117.0
Space-group type: No. 216

***

(2)
KBa2Ac3Se6 | PBE | optimized geometry

Cell lengths 4.556, 9.235, 10.296 Å; angles 104.05, 102.78, 90.00 degrees
Fractional coordinates of all 12 atoms:
K (0.500, 0.000, 0.000)
Ba (0.834, 0.670, 0.669)
Ba (0.166, 0.330, 0.331)
Ac (0.500, 0.500, 0.000)
Ac (0.834, 0.168, 0.668)
Ac (0.166, 0.832, 0.332)
Se (0.329, 0.928, 0.658)
Se (0.663, 0.591, 0.327)
Se (0.671, 0.072, 0.342)
Se (0.995, 0.263, 0.991)
Se (0.005, 0.737, 0.009)
Se (0.337, 0.409, 0.673)

Results
E_tot (eV/atom): -5.09
Raw formation energy (kJ/mol of formula units): -2204.5
Volume (Å³ per cell): 409.2
Space-group type: No. 12

***

(3)
LiInTe2N | PBE | optimized geometry

Cell lengths 6.011, 6.011, 4.036 Å; angles 90.00, 90.00, 90.00 degrees
Each line ends with the local moment (μB).
Fractional coordinates of all 5 atoms:
N (0.000, 0.000, 0.500)  0.88
Te (0.000, 0.500, 0.000)  0.24
Te (0.500, 0.000, 0.000)  0.24
Li (0.500, 0.500, 0.500)  0.00
In (0.000, 0.000, 0.000)  -0.02

Results
E_tot (eV/atom): -3.29
Relative energy among the computed polymorphs (meV/atom): 0
Raw formation energy (kJ/mol of formula units): 273.4
Volume (Å³ per cell): 145.8
Space-group type: No. 123

***

(4)
CaHg2Br | PBE | optimized geometry

Cell lengths 4.195, 4.370, 6.742 Å; angles 70.85, 90.00, 90.00 degrees
Fractional coordinates of all 4 atoms:
Ca (0.500, 0.968, 0.691)
Hg (0.000, 0.776, 0.070)
Hg (0.500, 0.237, 0.147)
Br (0.000, 0.519, 0.592)

Results
E_tot (eV/atom): -1.80
Relative energy among the computed polymorphs (meV/atom): 17
Raw formation energy (kJ/mol of formula units): -281.5
Volume (Å³ per cell): 116.8
Space-group type: No. 6

***

(5)
Pr15DyTm4 | PBE | optimized geometry

Cell lengths 5.181, 5.181, 25.785 Å; angles 90.00, 90.00, 90.00 degrees
Fractional coordinates of all 20 atoms:
Pr (0.500, 0.500, 0.000)
Pr (0.500, 0.500, 0.200)
Pr (0.500, 0.500, 0.400)
Pr (0.500, 0.500, 0.600)
Pr (0.500, 0.500, 0.800)
Pr (0.500, 0.000, 0.100)
Pr (0.500, 0.000, 0.300)
Pr (0.500, 0.000, 0.500)
Pr (0.500, 0.000, 0.700)
Pr (0.500, 0.000, 0.900)
Pr (0.000, 0.500, 0.100)
Pr (0.000, 0.500, 0.300)
Pr (0.000, 0.500, 0.500)
Pr (0.000, 0.500, 0.700)
Pr (0.000, 0.500, 0.900)
Dy (0.000, 0.000, 0.000)
Tm (0.000, 0.000, 0.200)
Tm (0.000, 0.000, 0.400)
Tm (0.000, 0.000, 0.600)
Tm (0.000, 0.000, 0.800)

Results
E_tot (eV/atom): -4.70
Volume (Å³ per cell): 692.3
Space-group type: No. 123
Calculated formation energy (eV/f.u.): 0.17

***

(6)
Be2InCl | PBE | optimized geometry

Cell lengths 5.693, 5.693, 6.282 Å; angles 63.05, 63.05, 90.00 degrees
Fractional coordinates of all 8 atoms:
Be (0.590, 0.125, 0.250)
Be (0.160, 0.625, 0.250)
Be (0.375, 0.410, 0.750)
Be (0.875, 0.840, 0.750)
Cl (0.500, 0.500, 0.000)
Cl (0.250, 0.750, 0.500)
In (0.000, 0.000, 0.000)
In (0.750, 0.250, 0.500)

Results
E_tot (eV/atom): -2.60
Relative energy among the computed polymorphs (meV/atom): 217
Raw formation energy (kJ/mol of formula units): 158.6
Volume (Å³ per cell): 156.3
Space-group type: No. 122

***

(7)
Cs2Na5Ge4 | PBE | optimized geometry

Cell lengths 7.211, 7.881, 9.064 Å; angles 69.05, 66.56, 62.77 degrees
Fractional coordinates of all 11 atoms:
Cs (0.256, 0.864, 0.624)
Cs (0.744, 0.136, 0.376)
Na (0.149, 0.321, 0.904)
Na (0.851, 0.679, 0.096)
Na (0.000, 0.500, 0.500)
Na (0.626, 0.321, 0.904)
Na (0.374, 0.679, 0.096)
Ge (0.419, 0.008, 0.154)
Ge (0.581, 0.992, 0.846)
Ge (0.775, 0.663, 0.787)
Ge (0.225, 0.337, 0.213)

Results
E_tot (eV/atom): -2.49
Volume (Å³ per cell): 410.4
Space-group type: No. 12
Calculated formation energy (eV/f.u.): -0.66

***

(8)
As4P | PBE | optimized geometry

Cell lengths 5.336, 5.336, 5.336 Å; angles 122.27, 122.27, 86.11 degrees
Fractional coordinates of all 5 atoms:
As (0.750, 0.250, 0.500)
As (0.250, 0.750, 0.500)
As (0.667, 0.667, 0.000)
As (0.333, 0.333, 0.000)
P (0.000, 0.000, 0.000)

Results
E_tot (eV/atom): -4.33
Relative energy among the computed polymorphs (meV/atom): 0
Volume (Å³ per cell): 103.5
Space-group type: No. 139
Calculated formation energy (eV/f.u.): 2.37

***

(9)
Pm3Mg2Pb2 | PBE | optimized geometry

Cell lengths 4.572, 6.030, 8.115 Å; angles 101.33, 90.00, 112.28 degrees
Fractional coordinates of all 7 atoms:
Pm (0.500, 0.000, 0.000)
Pm (0.630, 0.259, 0.442)
Pm (0.370, 0.741, 0.558)
Mg (0.885, 0.771, 0.252)
Mg (0.115, 0.229, 0.748)
Pb (0.806, 0.611, 0.829)
Pb (0.194, 0.389, 0.171)

Results
E_tot (eV/atom): -3.78
Volume (Å³ per cell): 202.3
Space-group type: No. 12
Calculated formation energy (eV/f.u.): -1.62

***

(10)
Dy2PuTl | PBE | optimized geometry

Cell lengths 4.605, 4.920, 4.920 Å; angles 90.00, 90.00, 90.00 degrees
Each line ends with the local moment (μB).
Fractional coordinates of all 4 atoms:
Tl (0.500, 0.000, 0.000)  -0.04
Dy (0.000, 0.000, 0.500)  0.36
Dy (0.000, 0.500, 0.000)  0.36
Pu (0.500, 0.500, 0.500)  5.61

Results
E_tot (eV/atom): -6.54
Relative energy among the computed polymorphs (meV/atom): 6
Volume (Å³ per cell): 111.5
Space-group type: No. 123
Calculated formation energy (eV/f.u.): -0.27

***

(11)
TmSnHg | PBE | optimized geometry

Cell lengths 3.695, 3.695, 6.170 Å; angles 107.42, 107.42, 90.00 degrees
Fractional coordinates of all 3 atoms:
Tm (0.609, 0.609, 0.218)
Hg (0.952, 0.952, 0.904)
Sn (0.289, 0.289, 0.578)

Results
E_tot (eV/atom): -3.23
Volume (Å³ per cell): 76.3
Space-group type: No. 107
Calculated formation energy (eV/f.u.): -0.93

***

(12)
Tb5Y2ErTh | PBE | optimized geometry

Cell lengths 5.714, 11.120, 9.734 Å; angles 90.00, 90.00, 104.89 degrees
Fractional coordinates of all 18 atoms:
Tb (0.399, 0.799, 0.042)
Tb (0.728, 0.455, 0.823)
Tb (0.469, 0.938, 0.743)
Tb (0.303, 0.607, 0.715)
Tb (0.985, 0.969, 0.517)
Tb (0.601, 0.201, 0.542)
Tb (0.272, 0.545, 0.323)
Tb (0.531, 0.062, 0.243)
Tb (0.697, 0.393, 0.215)
Tb (0.015, 0.031, 0.017)
Y (0.884, 0.768, 0.829)
Y (0.128, 0.255, 0.713)
Y (0.116, 0.232, 0.329)
Y (0.872, 0.745, 0.213)
Er (0.810, 0.620, 0.517)
Er (0.190, 0.380, 0.017)
Th (0.595, 0.190, 0.925)
Th (0.405, 0.810, 0.425)

Results
E_tot (eV/atom): -5.18
Volume (Å³ per cell): 597.7
Space-group type: No. 36
Calculated formation energy (eV/f.u.): 1.43

***

(13)
Na2InSb2 | PBE | optimized geometry

Cell lengths 4.855, 6.822, 10.194 Å; angles 76.43, 76.22, 69.15 degrees
Fractional coordinates of all 10 atoms:
Na (0.334, 0.251, 0.081)
Na (0.479, 0.356, 0.686)
Na (0.666, 0.749, 0.919)
Na (0.521, 0.644, 0.314)
In (0.810, 0.031, 0.349)
In (0.190, 0.969, 0.651)
Sb (0.960, 0.189, 0.891)
Sb (0.161, 0.283, 0.395)
Sb (0.040, 0.811, 0.109)
Sb (0.839, 0.717, 0.605)

Results
E_tot (eV/atom): -3.01
Relative energy among the computed polymorphs (meV/atom): 0
Raw formation energy (kJ/mol of formula units): -136.6
Volume (Å³ per cell): 302.3
Space-group type: No. 12

***

(14)
Al3Te2 | PBE | optimized geometry

Cell lengths 5.058, 5.058, 5.874 Å; angles 90.00, 90.00, 120.00 degrees
Fractional coordinates of all 5 atoms:
Al (0.000, 0.000, 0.000)
Al (0.667, 0.333, 0.767)
Al (0.333, 0.667, 0.233)
Te (0.667, 0.333, 0.254)
Te (0.333, 0.667, 0.746)

Results
E_tot (eV/atom): -3.36
Raw formation energy (kJ/mol of formula units): 69.0
Volume (Å³ per cell): 130.1
Space-group type: No. 164

***

(15)
PrSm5Tm6 | PBE | optimized geometry

Cell lengths 5.067, 9.978, 9.431 Å; angles 121.93, 105.57, 90.03 degrees
Fractional coordinates of all 12 atoms:
Pr (0.000, 0.000, 0.000)
Tm (0.833, 0.583, 0.666)
Tm (0.833, 0.084, 0.666)
Tm (0.500, 0.749, 0.000)
Tm (0.500, 0.251, 0.000)
Tm (0.167, 0.916, 0.334)
Tm (0.167, 0.417, 0.334)
Sm (0.668, 0.168, 0.335)
Sm (0.333, 0.333, 0.667)
Sm (0.000, 0.500, 0.000)
Sm (0.667, 0.667, 0.333)
Sm (0.332, 0.832, 0.665)

Results
E_tot (eV/atom): -4.58
Volume (Å³ per cell): 383.9
Space-group type: No. 71
Calculated formation energy (eV/f.u.): 0.25

***

(16)
LaPm2Zn2In2 | PBE | optimized geometry

Cell lengths 4.784, 4.784, 9.896 Å; angles 76.01, 76.01, 60.00 degrees
Fractional coordinates of all 7 atoms:
La (0.000, 0.000, 0.000)
Pm (0.130, 0.130, 0.611)
Pm (0.870, 0.870, 0.389)
Zn (0.591, 0.591, 0.227)
Zn (0.409, 0.409, 0.773)
In (0.738, 0.738, 0.786)
In (0.262, 0.262, 0.214)

Results
E_tot (eV/atom): -3.52
Volume (Å³ per cell): 188.3
Space-group type: No. 166
Calculated formation energy (eV/f.u.): -2.22

***

(17)
Pr6Nd8Cd | PBE | optimized geometry

Cell lengths 6.584, 9.641, 9.641 Å; angles 120.00, 90.00, 90.00 degrees
Fractional coordinates of all 15 atoms:
Pr (0.677, 0.643, 0.093)
Pr (0.677, 0.907, 0.550)
Pr (0.677, 0.450, 0.357)
Pr (0.323, 0.357, 0.907)
Pr (0.323, 0.093, 0.450)
Pr (0.323, 0.550, 0.643)
Nd (0.814, 0.042, 0.266)
Nd (0.814, 0.734, 0.776)
Nd (0.814, 0.224, 0.958)
Nd (0.186, 0.958, 0.734)
Nd (0.186, 0.266, 0.224)
Nd (0.186, 0.776, 0.042)
Nd (0.848, 0.333, 0.667)
Nd (0.152, 0.667, 0.333)
Cd (0.500, 0.000, 0.000)

Results
E_tot (eV/atom): -4.45
Volume (Å³ per cell): 530.0
Space-group type: No. 147
Calculated formation energy (eV/f.u.): 1.05

***

(18)
UGa3Ni | PBE | optimized geometry

Cell lengths 5.905, 5.905, 5.905 Å; angles 138.97, 138.97, 59.42 degrees
Each line ends with the local moment (μB).
Fractional coordinates of all 5 atoms:
U (0.995, 0.995, 0.000)  2.14
Ga (0.409, 0.409, 0.000)  -0.01
Ga (0.247, 0.747, 0.500)  -0.02
Ga (0.747, 0.247, 0.500)  -0.02
Ni (0.633, 0.633, 0.000)  -0.09

Results
E_tot (eV/atom): -5.50
Relative energy among the computed polymorphs (meV/atom): 0
Volume (Å³ per cell): 87.9
Space-group type: No. 107
Calculated formation energy (eV/f.u.): -1.34

***

(19)
CuNi5Rh6 | PBE | optimized geometry

Cell lengths 3.772, 8.092, 6.958 Å; angles 54.44, 74.27, 62.20 degrees
Fractional coordinates of all 12 atoms:
Cu (0.000, 0.000, 0.000)
Ni (0.500, 0.165, 0.670)
Ni (0.000, 0.332, 0.336)
Ni (0.500, 0.500, 0.000)
Ni (0.000, 0.668, 0.664)
Ni (0.500, 0.835, 0.330)
Rh (0.747, 0.085, 0.335)
Rh (0.253, 0.579, 0.335)
Rh (0.244, 0.256, 0.000)
Rh (0.756, 0.744, 0.000)
Rh (0.747, 0.421, 0.665)
Rh (0.253, 0.915, 0.665)

Results
E_tot (eV/atom): -6.36
Volume (Å³ per cell): 152.9
Space-group type: No. 71
Calculated formation energy (eV/f.u.): 0.77

***

(20)
Rb3Eu5Cl12 | PBE | optimized geometry

Cell lengths 15.824, 15.824, 15.824 Å; angles 109.47, 109.47, 109.47 degrees
Each line ends with the local moment (μB).
Fractional coordinates of all 80 atoms:
Rb (0.750, 0.375, 0.125)  0.00
Rb (0.875, 0.750, 0.125)  0.00
Rb (0.375, 0.750, 0.625)  0.00
Rb (0.250, 0.125, 0.375)  0.00
Rb (0.875, 0.125, 0.250)  0.00
Rb (0.375, 0.625, 0.250)  0.00
Rb (0.625, 0.375, 0.750)  0.00
Rb (0.125, 0.875, 0.750)  0.00
Rb (0.750, 0.875, 0.625)  0.00
Rb (0.625, 0.250, 0.375)  0.00
Rb (0.125, 0.250, 0.875)  0.00
Rb (0.250, 0.625, 0.875)  0.00
Eu (0.125, 0.375, 0.250)  -6.88
Eu (0.000, 0.500, 0.000)  6.88
Eu (0.000, 0.000, 0.000)  6.88
Eu (0.375, 0.250, 0.125)  -6.88
Eu (0.500, 0.000, 0.500)  6.88
Eu (0.500, 0.500, 0.000)  6.88
Eu (0.125, 0.750, 0.375)  -6.88
Eu (0.750, 0.125, 0.875)  -6.88
Eu (0.750, 0.625, 0.375)  -6.88
Eu (0.375, 0.125, 0.750)  -6.88
Eu (0.625, 0.875, 0.250)  -6.88
Eu (0.500, 0.500, 0.500)  6.88
Eu (0.500, 0.000, 0.000)  6.88
Eu (0.000, 0.000, 0.500)  6.88
Eu (0.250, 0.375, 0.625)  -6.88
Eu (0.250, 0.875, 0.125)  -6.88
Eu (0.000, 0.500, 0.500)  6.88
Eu (0.875, 0.250, 0.625)  -6.88
Eu (0.625, 0.750, 0.875)  -6.88
Eu (0.875, 0.625, 0.750)  -6.88
Cl (0.702, 0.122, 0.027)  0.01
Cl (0.326, 0.527, 0.406)  0.01
Cl (0.973, 0.378, 0.298)  0.01
Cl (0.527, 0.202, 0.122)  0.01
Cl (0.580, 0.702, 0.674)  0.01
Cl (0.973, 0.594, 0.174)  0.01
Cl (0.326, 0.798, 0.420)  0.01
Cl (0.094, 0.920, 0.122)  0.01
Cl (0.594, 0.973, 0.674)  0.01
Cl (0.702, 0.580, 0.174)  0.01
Cl (0.798, 0.473, 0.378)  0.01
Cl (0.826, 0.906, 0.027)  0.01
Cl (0.122, 0.702, 0.527)  0.01
Cl (0.378, 0.406, 0.080)  0.01
Cl (0.080, 0.906, 0.378)  0.01
Cl (0.420, 0.122, 0.594)  0.01
Cl (0.080, 0.174, 0.202)  0.01
Cl (0.473, 0.674, 0.094)  0.01
Cl (0.826, 0.920, 0.298)  0.01
Cl (0.122, 0.420, 0.094)  0.01
Cl (0.378, 0.973, 0.798)  0.01
Cl (0.594, 0.622, 0.420)  0.01
Cl (0.906, 0.826, 0.527)  0.01
Cl (0.798, 0.326, 0.920)  0.01
Cl (0.406, 0.378, 0.580)  0.01
Cl (0.094, 0.174, 0.473)  0.01
Cl (0.202, 0.674, 0.080)  0.01
Cl (0.174, 0.080, 0.702)  0.01
Cl (0.622, 0.027, 0.202)  0.01
Cl (0.878, 0.580, 0.906)  0.01
Cl (0.527, 0.326, 0.906)  0.01
Cl (0.580, 0.878, 0.406)  0.01
Cl (0.920, 0.826, 0.798)  0.01
Cl (0.920, 0.094, 0.622)  0.01
Cl (0.878, 0.298, 0.473)  0.01
Cl (0.174, 0.094, 0.973)  0.01
Cl (0.622, 0.594, 0.920)  0.01
Cl (0.406, 0.027, 0.326)  0.01
Cl (0.298, 0.420, 0.826)  0.01
Cl (0.202, 0.527, 0.622)  0.01
Cl (0.906, 0.080, 0.878)  0.01
Cl (0.674, 0.202, 0.580)  0.01
Cl (0.473, 0.798, 0.878)  0.01
Cl (0.027, 0.406, 0.826)  0.01
Cl (0.420, 0.298, 0.326)  0.01
Cl (0.027, 0.622, 0.702)  0.01
Cl (0.674, 0.473, 0.594)  0.01
Cl (0.298, 0.878, 0.973)  0.01

Results
E_tot (eV/atom): -5.93
Raw formation energy (kJ/mol of formula units): -4069.6
Volume (Å³ per cell): 3049.9
Space-group type: No. 230